# Tl2In4Bi, optimized geometry, DFT GGA-PBE
data_Tl2In4Bi
_chemical_formula_sum 'Tl2 In4 Bi1'
_symmetry_space_group_name_H-M 'P 1'
_symmetry_Int_Tables_number 1
_symmetry_space_group_name_Hall 'P 1'
_cell_length_a 6.609
_cell_length_b 6.609
_cell_length_c 7.394
_cell_angle_alpha 124.03
_cell_angle_beta 124.03
_cell_angle_gamma 75.39
loop_
_atom_site_label
_atom_site_type_symbol
_atom_site_fract_x
_atom_site_fract_y
_atom_site_fract_z
Tl1 Tl 0.226 0.774 0.500
Tl2 Tl 0.726 0.274 0.500
In1 In 0.693 0.741 0.000
In2 In 0.259 0.306 0.000
In3 In 0.261 0.307 0.568
In4 In 0.694 0.740 0.433
Bi1 Bi 0.142 0.858 0.000
# calculated volume: 221 Å³/cell
# ΔE to the lowest computed polymorph: 66 meV/atom
# energy of formation from the pure elements: 75 meV per atom

=====

# TbHgPt, optimized geometry, DFT GGA-PBE
data_TbHgPt
_chemical_formula_sum 'Tb6 Hg6 Pt6'
_symmetry_space_group_name_H-M 'P 1'
_symmetry_Int_Tables_number 1
_symmetry_space_group_name_Hall 'P 1'
_cell_length_a 3.842
_cell_length_b 7.840
_cell_length_c 13.320
_cell_angle_alpha 90.00
_cell_angle_beta 90.00
_cell_angle_gamma 90.00
loop_
_atom_site_label
_atom_site_type_symbol
_atom_site_fract_x
_atom_site_fract_y
_atom_site_fract_z
Tb1 Tb 0.000 0.228 0.949
Tb2 Tb 0.000 0.772 0.051
Tb3 Tb 0.000 0.228 0.551
Tb4 Tb 0.000 0.772 0.449
Tb5 Tb 0.000 0.182 0.250
Tb6 Tb 0.000 0.818 0.750
Hg1 Hg 0.500 0.437 0.107
Hg2 Hg 0.500 0.563 0.893
Hg3 Hg 0.500 0.437 0.393
Hg4 Hg 0.500 0.563 0.607
Hg5 Hg 0.500 0.825 0.250
Hg6 Hg 0.500 0.175 0.750
Pt1 Pt 0.500 0.071 0.094
Pt2 Pt 0.500 0.929 0.906
Pt3 Pt 0.500 0.071 0.406
Pt4 Pt 0.500 0.929 0.594
Pt5 Pt 0.000 0.561 0.250
Pt6 Pt 0.000 0.439 0.750
# calculated volume: 401 Å³/cell
# energy of formation from the pure elements: -831 meV per atom

=====

# CeSmTlGe, optimized geometry, DFT GGA-PBE
data_CeSmTlGe
_chemical_formula_sum 'Ce1 Sm1 Tl1 Ge1'
_symmetry_space_group_name_H-M 'P 1'
_symmetry_Int_Tables_number 1
_symmetry_space_group_name_Hall 'P 1'
_cell_length_a 5.326
_cell_length_b 5.326
_cell_length_c 5.326
_cell_angle_alpha 60.00
_cell_angle_beta 60.00
_cell_angle_gamma 60.00
loop_
_atom_site_label
_atom_site_type_symbol
_atom_site_fract_x
_atom_site_fract_y
_atom_site_fract_z
Tl1 Tl 0.250 0.250 0.250
Ge1 Ge 0.750 0.750 0.750
Ce1 Ce 0.500 0.500 0.500
Sm1 Sm 0.000 0.000 0.000
# calculated volume: 107 Å³/cell
# energy of formation from the pure elements: -401 meV per atom

=====

# La2YCo, optimized geometry, DFT GGA-PBE
data_La2YCo
_chemical_formula_sum 'La2 Y1 Co1'
_symmetry_space_group_name_H-M 'P 1'
_symmetry_Int_Tables_number 1
_symmetry_space_group_name_Hall 'P 1'
_cell_length_a 3.496
_cell_length_b 3.494
_cell_length_c 9.931
_cell_angle_alpha 69.44
_cell_angle_beta 90.00
_cell_angle_gamma 90.00
loop_
_atom_site_label
_atom_site_type_symbol
_atom_site_fract_x
_atom_site_fract_y
_atom_site_fract_z
Co1 Co 0.500 0.760 0.741
La1 La 0.000 0.075 0.926
La2 La 0.500 0.238 0.261
Y1 Y 0.000 0.427 0.572
# calculated volume: 114 Å³/cell
# ΔE to the lowest computed polymorph: 97 meV/atom
# energy of formation from the pure elements: -6 meV per atom

=====

# Rb3RuCl6, optimized geometry, DFT GGA-PBE
data_Rb3RuCl6
_chemical_formula_sum 'Rb3 Ru1 Cl6'
_symmetry_space_group_name_H-M 'P 1'
_symmetry_Int_Tables_number 1
_symmetry_space_group_name_Hall 'P 1'
_cell_length_a 7.716
_cell_length_b 7.716
_cell_length_c 7.716
_cell_angle_alpha 60.00
_cell_angle_beta 60.00
_cell_angle_gamma 90.00
loop_
_atom_site_label
_atom_site_type_symbol
_atom_site_fract_x
_atom_site_fract_y
_atom_site_fract_z
Ru1 Ru 0.000 0.000 0.000
Rb1 Rb 0.500 0.500 0.000
Rb2 Rb 0.750 0.250 0.500
Rb3 Rb 0.250 0.750 0.500
Cl1 Cl 0.218 0.218 0.564
Cl2 Cl 0.782 0.782 0.436
Cl3 Cl 0.218 0.218 0.000
Cl4 Cl 0.782 0.782 0.000
Cl5 Cl 0.782 0.218 0.000
Cl6 Cl 0.218 0.782 0.000
# E_form (uncorrected): -1350 meV per atom
# calculated volume: 325 Å³/cell
# ΔE to the lowest computed polymorph: 24 meV/atom

=====

# LaHoNi2P2, optimized geometry, DFT GGA-PBE
data_LaHoNi2P2
_chemical_formula_sum 'La1 Ho1 Ni2 P2'
_symmetry_space_group_name_H-M 'P 1'
_symmetry_Int_Tables_number 1
_symmetry_space_group_name_Hall 'P 1'
_cell_length_a 3.949
_cell_length_b 3.949
_cell_length_c 7.965
_cell_angle_alpha 90.00
_cell_angle_beta 90.00
_cell_angle_gamma 120.00
loop_
_atom_site_label
_atom_site_type_symbol
_atom_site_fract_x
_atom_site_fract_y
_atom_site_fract_z
La1 La 0.000 0.000 0.000
Ho1 Ho 0.000 0.000 0.500
Ni1 Ni 0.667 0.333 0.261
Ni2 Ni 0.333 0.667 0.739
P1 P 0.667 0.333 0.733
P2 P 0.333 0.667 0.267
# calculated volume: 108 Å³/cell
# energy of formation from the pure elements: -1201 meV per atom

=====

# SrMg8Pd4, optimized geometry, DFT GGA-PBE
data_SrMg8Pd4
_chemical_formula_sum 'Sr1 Mg8 Pd4'
_symmetry_space_group_name_H-M 'P 1'
_symmetry_Int_Tables_number 1
_symmetry_space_group_name_Hall 'P 1'
_cell_length_a 5.735
_cell_length_b 7.319
_cell_length_c 7.319
_cell_angle_alpha 81.17
_cell_angle_beta 66.93
_cell_angle_gamma 66.93
loop_
_atom_site_label
_atom_site_type_symbol
_atom_site_fract_x
_atom_site_fract_y
_atom_site_fract_z
Sr1 Sr 0.000 0.000 0.000
Mg1 Mg 0.000 0.338 0.662
Mg2 Mg 0.000 0.662 0.338
Mg3 Mg 0.338 0.662 0.662
Mg4 Mg 0.662 0.338 0.338
Mg5 Mg 0.500 0.776 0.224
Mg6 Mg 0.500 0.224 0.776
Mg7 Mg 0.276 0.224 0.224
Mg8 Mg 0.724 0.776 0.776
Pd1 Pd 0.000 0.000 0.500
Pd2 Pd 0.500 0.000 0.500
Pd3 Pd 0.000 0.500 0.000
Pd4 Pd 0.500 0.500 0.000
# calculated volume: 260 Å³/cell
# energy of formation from the pure elements: -488 meV per atom

=====

# TlPb2Au2, optimized geometry, DFT GGA-PBE
data_TlPb2Au2
_chemical_formula_sum 'Tl2 Pb4 Au4'
_symmetry_space_group_name_H-M 'P 1'
_symmetry_Int_Tables_number 1
_symmetry_space_group_name_Hall 'P 1'
_cell_length_a 4.632
_cell_length_b 5.523
_cell_length_c 10.905
_cell_angle_alpha 82.47
_cell_angle_beta 90.00
_cell_angle_gamma 90.00
loop_
_atom_site_label
_atom_site_type_symbol
_atom_site_fract_x
_atom_site_fract_y
_atom_site_fract_z
Tl1 Tl 0.250 0.619 0.226
Tl2 Tl 0.750 0.381 0.774
Pb1 Pb 0.250 0.900 0.874
Pb2 Pb 0.750 0.100 0.126
Pb3 Pb 0.250 0.228 0.530
Pb4 Pb 0.750 0.772 0.470
Au1 Au 0.250 0.698 0.640
Au2 Au 0.750 0.302 0.360
Au3 Au 0.250 0.345 0.998
Au4 Au 0.750 0.655 0.002
# calculated volume: 277 Å³/cell
# ΔE to the lowest computed polymorph: 0 meV/atom
# energy of formation from the pure elements: -52 meV per atom

=====

# BePAu, optimized geometry, DFT GGA-PBE
data_BePAu
_chemical_formula_sum 'Be2 P2 Au2'
_symmetry_space_group_name_H-M 'P 1'
_symmetry_Int_Tables_number 1
_symmetry_space_group_name_Hall 'P 1'
_cell_length_a 3.440
_cell_length_b 3.440
_cell_length_c 8.864
_cell_angle_alpha 90.00
_cell_angle_beta 90.00
_cell_angle_gamma 90.00
loop_
_atom_site_label
_atom_site_type_symbol
_atom_site_fract_x
_atom_site_fract_y
_atom_site_fract_z
P1 P 0.000 0.500 0.854
P2 P 0.500 0.000 0.146
Au1 Au 0.000 0.500 0.587
Au2 Au 0.500 0.000 0.413
Be1 Be 0.000 0.000 0.000
Be2 Be 0.500 0.500 0.000
# calculated volume: 105 Å³/cell
# energy of formation from the pure elements: 9 meV per atom

=====

# Tl2HgCl, optimized geometry, DFT GGA-PBE
data_Tl2HgCl
_chemical_formula_sum 'Tl2 Hg1 Cl1'
_symmetry_space_group_name_H-M 'P 1'
_symmetry_Int_Tables_number 1
_symmetry_space_group_name_Hall 'P 1'
_cell_length_a 6.491
_cell_length_b 6.491
_cell_length_c 4.844
_cell_angle_alpha 89.73
_cell_angle_beta 89.73
_cell_angle_gamma 37.76
loop_
_atom_site_label
_atom_site_type_symbol
_atom_site_fract_x
_atom_site_fract_y
_atom_site_fract_z
Tl1 Tl 0.989 0.989 0.123
Tl2 Tl 0.754 0.754 0.626
Hg1 Hg 0.250 0.250 0.126
Cl1 Cl 0.507 0.507 0.624
# E_form (uncorrected): -423 meV per atom
# calculated volume: 125 Å³/cell
# ΔE to the lowest computed polymorph: 24 meV/atom

=====

# HfSbTe2P, optimized geometry, DFT GGA-PBE
data_HfSbTe2P
_chemical_formula_sum 'Hf1 Sb1 Te2 P1'
_symmetry_space_group_name_H-M 'P 1'
_symmetry_Int_Tables_number 1
_symmetry_space_group_name_Hall 'P 1'
_cell_length_a 5.480
_cell_length_b 5.480
_cell_length_c 5.660
_cell_angle_alpha 90.00
_cell_angle_beta 90.00
_cell_angle_gamma 90.00
loop_
_atom_site_label
_atom_site_type_symbol
_atom_site_fract_x
_atom_site_fract_y
_atom_site_fract_z
Sb1 Sb 0.000 0.000 0.500
Te1 Te 0.000 0.500 0.000
Te2 Te 0.500 0.000 0.000
Hf1 Hf 0.000 0.000 0.000
P1 P 0.500 0.500 0.500
# E_form (uncorrected): 553 meV per atom
# calculated volume: 170 Å³/cell
# ΔE to the lowest computed polymorph: 3 meV/atom

=====

# Pm3Zn4Ag2, optimized geometry, DFT GGA-PBE
data_Pm3Zn4Ag2
_chemical_formula_sum 'Pm3 Zn4 Ag2'
_symmetry_space_group_name_H-M 'P 1'
_symmetry_Int_Tables_number 1
_symmetry_space_group_name_Hall 'P 1'
_cell_length_a 4.653
_cell_length_b 5.854
_cell_length_c 8.819
_cell_angle_alpha 113.87
_cell_angle_beta 90.00
_cell_angle_gamma 113.42
loop_
_atom_site_label
_atom_site_type_symbol
_atom_site_fract_x
_atom_site_fract_y
_atom_site_fract_z
Pm1 Pm 0.667 0.334 0.669
Pm2 Pm 0.000 0.000 0.000
Pm3 Pm 0.333 0.666 0.331
Zn1 Zn 0.727 0.455 0.056
Zn2 Zn 0.273 0.545 0.944
Zn3 Zn 0.950 0.901 0.613
Zn4 Zn 0.050 0.099 0.387
Ag1 Ag 0.612 0.224 0.277
Ag2 Ag 0.388 0.776 0.723
# calculated volume: 198 Å³/cell
# energy of formation from the pure elements: -328 meV per atom

=====

# LiBe2Ni, optimized geometry, DFT GGA-PBE
data_LiBe2Ni
_chemical_formula_sum 'Li2 Be4 Ni2'
_symmetry_space_group_name_H-M 'P 1'
_symmetry_Int_Tables_number 1
_symmetry_space_group_name_Hall 'P 1'
_cell_length_a 3.234
_cell_length_b 3.234
_cell_length_c 8.271
_cell_angle_alpha 78.73
_cell_angle_beta 78.73
_cell_angle_gamma 90.00
loop_
_atom_site_label
_atom_site_type_symbol
_atom_site_fract_x
_atom_site_fract_y
_atom_site_fract_z
Ni1 Ni 0.000 0.000 0.000
Ni2 Ni 0.750 0.250 0.500
Li1 Li 0.500 0.500 0.000
Li2 Li 0.250 0.750 0.500
Be1 Be 0.097 0.125 0.250
Be2 Be 0.653 0.625 0.250
Be3 Be 0.375 0.903 0.750
Be4 Be 0.875 0.347 0.750
# calculated volume: 83 Å³/cell
# energy of formation from the pure elements: 339 meV per atom

=====

# CePr2Mg, optimized geometry, DFT GGA-PBE
data_CePr2Mg
_chemical_formula_sum 'Ce1 Pr2 Mg1'
_symmetry_space_group_name_H-M 'P 1'
_symmetry_Int_Tables_number 1
_symmetry_space_group_name_Hall 'P 1'
_cell_length_a 3.554
_cell_length_b 3.554
_cell_length_c 11.762
_cell_angle_alpha 81.31
_cell_angle_beta 81.31
_cell_angle_gamma 60.00
loop_
_atom_site_label
_atom_site_type_symbol
_atom_site_fract_x
_atom_site_fract_y
_atom_site_fract_z
Ce1 Ce 0.500 0.500 0.501
Pr1 Pr 0.082 0.082 0.755
Pr2 Pr 0.252 0.252 0.244
Mg1 Mg 0.667 0.667 0.000
# calculated volume: 127 Å³/cell
# ΔE to the lowest computed polymorph: 84 meV/atom
# energy of formation from the pure elements: 82 meV per atom